TlOsSN2 | PBE | optimized geometry

The structure belongs to space group P4/mmm (No. 123); the cell edges are 4.083, 4.083 and 5.824 Å and the angles 90.00°, 90.00° and 90.00°. The inequivalent atoms are Tl at (0.000, 0.000, 0.000), Os at (0.500, 0.500, 0.500), S at (0.000, 0.000, 0.500) and N at (0.000, 0.500, 0.000).

The energy above the most stable polymorph in this dataset comes out at 2179 meV per atom. Its uncorrected formation energy is 13.7 eV/f.u.